Density functional theory data (PBE-GGA) for a relaxed structure of CeDy3Ho5.

Cell: 9.2197 9.2197 12.6034 Å, 52.08 52.08 51.31°
Fractional positions:
Ho (0.0800, 0.4890, 0.7804)
Ho (0.6802, 0.3198, 0.0000)
Ho (0.3198, 0.6802, 0.0000)
Ho (0.9200, 0.5110, 0.2196)
Ho (0.6332, 0.6332, 0.0659)
Ho (0.4890, 0.0800, 0.7804)
Ho (0.5564, 0.5564, 0.5694)
Ho (0.3668, 0.3668, 0.9341)
Ho (0.4436, 0.4436, 0.4306)
Ho (0.5110, 0.9200, 0.2196)
Dy (0.8340, 0.8340, 0.3431)
Dy (0.3057, 0.3057, 0.3108)
Dy (0.1660, 0.1660, 0.6569)
Dy (0.0000, 0.0000, 0.5000)
Dy (0.6943, 0.6943, 0.6892)
Dy (0.0000, 0.0000, 0.0000)
Ce (0.1039, 0.1039, 0.1313)
Ce (0.8961, 0.8961, 0.8687)

Properties
Its symmetry is C2/m (12). As for the magnetization: 0.94 μB per formula unit. The density of states at the Fermi level comes out at 17.41 states/eV/f.u. The calculation puts the total DFT energy (no corrections) at -4.28 eV per atom.